Arrangement i

An optimized crystal structure of DyHo2S4. Source: the Alexandria database, functional PBE-GGA.

Cell lengths 3.9289, 6.8450, 7.6563 Å; angles 118.64, 104.87, 90.00 degrees
Positions (direct):
Dy 0.0000 0.0000 0.0000
Ho 0.2716 0.2646 0.5432
Ho 0.7284 0.7354 0.4568
S 0.1256 0.8109 0.2511
S 0.8744 0.1891 0.7489
S 0.3614 0.7247 0.7227
S 0.6386 0.2753 0.2773

space-group type: C2/m
total moment: 0.0 μB per formula unit

***

Arrangement ii

An optimized crystal structure of DyHo2S4. Source: the Alexandria database, functional PBE-GGA.

Cell lengths 3.7920, 6.7043, 13.0749 Å; angles 90.00, 90.00, 106.43 degrees
Positions (direct):
Dy 0.6268 0.2535 0.7500
Dy 0.3732 0.7465 0.2500
Ho 0.1296 0.2591 0.4303
Ho 0.8704 0.7409 0.9303
Ho 0.1296 0.2591 0.0697
Ho 0.8704 0.7409 0.5697
S 0.7760 0.5519 0.1221
S 0.7760 0.5519 0.3779
S 0.2240 0.4481 0.8779
S 0.2240 0.4481 0.6221
S 0.9719 0.9439 0.7500
S 0.0281 0.0561 0.2500
S 0.5000 0.0000 0.0000
S 0.5000 0.0000 0.5000

space-group type: Cmcm
total moment: 0.0 μB per formula unit

***

Pick arrangement ii: it beats the second-best structure by 29 meV/atom.

***

Arrangement i

An optimized crystal structure of Dy3HoSb2. Source: the Alexandria database, functional PBE-GGA.

Cell lengths 4.4654, 4.4654, 8.4596 Å; angles 90.00, 90.00, 90.00 degrees
Positions (direct):
Dy 0.5000 0.0000 0.3504
Dy 0.0000 0.5000 0.6496
Dy 0.0000 0.0000 0.0000
Ho 0.5000 0.5000 0.0000
Sb 0.5000 0.0000 0.7197
Sb 0.0000 0.5000 0.2803

space-group type: P-4m2
total moment: 0.0 μB per formula unit

***

Arrangement ii

An optimized crystal structure of Dy3HoSb2. Source: the Alexandria database, functional PBE-GGA.

Cell lengths 4.3027, 10.4273, 9.7305 Å; angles 125.15, 90.00, 101.91 degrees
Positions (direct):
Dy 0.3117 0.6234 0.5164
Dy 0.9443 0.8887 0.5651
Dy 0.6453 0.2906 0.8139
Dy 0.3547 0.7094 0.1861
Dy 0.0557 0.1113 0.4349
Dy 0.6883 0.3766 0.4836
Ho 0.8905 0.7811 0.8949
Ho 0.1095 0.2189 0.1051
Sb 0.4922 0.9843 0.8295
Sb 0.5078 0.0157 0.1705
Sb 0.7495 0.4990 0.2216
Sb 0.2505 0.5010 0.7784

space-group type: C2/m
total moment: 0.3 μB per formula unit

***

Pick arrangement i: it beats the second-best structure by 124 meV/atom.

***

Arrangement i

An optimized crystal structure of DyHo2Sb. Source: the Alexandria database, functional PBE-GGA.

Cell lengths 3.9783, 3.9783, 9.6975 Å; angles 78.16, 78.16, 60.00 degrees
Positions (direct):
Dy 0.5005 0.5005 0.4986
Ho 0.0682 0.0682 0.7954
Ho 0.2652 0.2652 0.2045
Sb 0.6662 0.6662 0.0014

space-group type: R3m
total moment: 0.7 μB per formula unit

***

Arrangement ii

An optimized crystal structure of DyHo2Sb. Source: the Alexandria database, functional PBE-GGA.

Cell lengths 4.1059, 6.4248, 9.4880 Å; angles 90.00, 90.00, 108.64 degrees
Positions (direct):
Dy 0.9411 0.8822 0.2500
Dy 0.0589 0.1178 0.7500
Ho 0.3640 0.7280 0.5466
Ho 0.6360 0.2720 0.4534
Ho 0.3640 0.7280 0.9534
Ho 0.6360 0.2720 0.0466
Sb 0.7589 0.5177 0.7500
Sb 0.2411 0.4823 0.2500

space-group type: Cmcm
total moment: 0.0 μB per formula unit

***

Arrangement iii

An optimized crystal structure of DyHo2Sb. Source: the Alexandria database, functional PBE-GGA.

Cell lengths 3.9325, 3.9325, 9.9225 Å; angles 78.57, 78.57, 60.00 degrees
Positions (direct):
Sb 0.0000 0.0000 0.0000
Ho 0.2658 0.2658 0.2027
Ho 0.7342 0.7342 0.7973
Dy 0.5000 0.5000 0.5000

space-group type: R-3m
total moment: 0.3 μB per formula unit

***

Arrangement iv

An optimized crystal structure of DyHo2Sb. Source: the Alexandria database, functional PBE-GGA.

Cell lengths 4.0217, 4.0217, 7.0179 Å; angles 90.00, 90.00, 90.00 degrees
Positions (direct):
Sb 0.5000 0.5000 0.0000
Ho 0.0000 0.0000 0.7727
Ho 0.0000 0.0000 0.2273
Dy 0.5000 0.5000 0.5000

space-group type: P4/mmm
total moment: 0.0 μB per formula unit

***

Pick arrangement ii: it beats the second-best structure by 84 meV/atom.

***

Arrangement i

An optimized crystal structure of Dy2Ho2Sb3. Source: the Alexandria database, functional PBE-GGA.

Cell lengths 4.3401, 7.3386, 7.3610 Å; angles 98.86, 90.04, 107.26 degrees
Positions (direct):
Dy 0.6240 0.2478 0.8655
Dy 0.3760 0.7522 0.1345
Ho 0.8807 0.7603 0.6164
Ho 0.1193 0.2397 0.3836
Sb 0.0000 0.0000 0.0000
Sb 0.7428 0.4866 0.2523
Sb 0.2572 0.5134 0.7477

space-group type: P-1
total moment: 0.0 μB per formula unit

***

Arrangement ii

An optimized crystal structure of Dy2Ho2Sb3. Source: the Alexandria database, functional PBE-GGA.

Cell lengths 7.9420, 7.9420, 7.9420 Å; angles 109.47, 109.47, 109.47 degrees
Positions (direct):
Dy 0.5000 0.3542 0.5000
Dy 0.0000 0.0000 0.3542
Dy 0.6458 0.1458 0.1458
Dy 0.8542 0.5000 0.0000
Ho 0.0000 0.0000 0.8554
Ho 0.5000 0.8554 0.5000
Ho 0.1446 0.6446 0.6446
Ho 0.3554 0.5000 0.0000
Sb 0.7500 0.6257 0.3757
Sb 0.2500 0.8743 0.1243
Sb 0.6243 0.7500 0.8743
Sb 0.8757 0.2500 0.6257
Sb 0.3743 0.1243 0.7500
Sb 0.1257 0.3757 0.2500

space-group type: I2_13
total moment: 0.0 μB per formula unit

***

Pick arrangement ii: it beats the second-best structure by 146 meV/atom.

***

Arrangement i

An optimized crystal structure of DyHoSb2. Source: the Alexandria database, functional PBE-GGA.

Cell lengths 4.3428, 4.3428, 7.8213 Å; angles 73.88, 73.88, 60.00 degrees
Positions (direct):
Dy 0.4981 0.4981 0.5056
Ho 0.6687 0.6687 0.9938
Sb 0.0815 0.0815 0.7555
Sb 0.2516 0.2516 0.2451

space-group type: R3m
total moment: 0.0 μB per formula unit

***

Arrangement ii

An optimized crystal structure of DyHoSb2. Source: the Alexandria database, functional PBE-GGA.

Cell lengths 4.3506, 4.3507, 7.4587 Å; angles 90.00, 90.00, 120.00 degrees
Positions (direct):
Dy 0.0000 0.5000 0.5000
Ho 0.0000 0.5000 0.0000
Sb 0.6667 0.8334 0.7512
Sb 0.3333 0.1666 0.2488

space-group type: P-3m1
total moment: 0.0 μB per formula unit

***

Arrangement iii

An optimized crystal structure of DyHoSb2. Source: the Alexandria database, functional PBE-GGA.

Cell lengths 4.3773, 4.3773, 7.5728 Å; angles 73.20, 73.20, 60.00 degrees
Positions (direct):
Sb 0.7504 0.7504 0.7488
Sb 0.2496 0.2496 0.2512
Ho 0.5000 0.5000 0.5000
Dy 0.0000 0.0000 0.0000

space-group type: R-3m
total moment: 0.0 μB per formula unit

***

Pick arrangement iii: it beats the second-best structure by 69 meV/atom.

***

Arrangement i

An optimized crystal structure of Dy2HoSb. Source: the Alexandria database, functional PBE-GGA.

Cell lengths 4.1039, 6.4272, 9.5398 Å; angles 90.00, 90.00, 108.62 degrees
Positions (direct):
Dy 0.3639 0.7279 0.5465
Dy 0.6361 0.2721 0.4535
Dy 0.3639 0.7279 0.9535
Dy 0.6361 0.2721 0.0465
Ho 0.9401 0.8801 0.2500
Ho 0.0599 0.1199 0.7500
Sb 0.7585 0.5172 0.7500
Sb 0.2415 0.4828 0.2500

space-group type: Cmcm
total moment: 0.0 μB per formula unit

***

Arrangement ii

An optimized crystal structure of Dy2HoSb. Source: the Alexandria database, functional PBE-GGA.

Cell lengths 3.9878, 3.9878, 9.7087 Å; angles 78.15, 78.15, 60.00 degrees
Positions (direct):
Dy 0.0684 0.0684 0.7948
Dy 0.2650 0.2650 0.2051
Ho 0.5004 0.5004 0.4989
Sb 0.6662 0.6662 0.0013

space-group type: R3m
total moment: 0.8 μB per formula unit

***

Pick arrangement i: it beats the second-best structure by 227 meV/atom.